Record 1
Density functional theory data (PBE-GGA) for an optimized crystal structure of Al2Re2O5.

- Relative energy among the computed polymorphs: 0.0 meV per atom
- Calculated total energy: -7.39 eV per atom

The structure in CIF format:
```
data_Al2Re2O5
_chemical_formula_sum 'Al2 Re2 O5'
_space_group_name_H-M_alt 'P 1'
_space_group_IT_number 1
_cell_length_a 3.4448
_cell_length_b 3.4448
_cell_length_c 7.9303
_cell_angle_alpha 90.00
_cell_angle_beta 90.00
_cell_angle_gamma 90.00
loop_
_space_group_symop_operation_xyz
'x,y,z'
loop_
_atom_site_label
_atom_site_type_symbol
_atom_site_fract_x
_atom_site_fract_y
_atom_site_fract_z
_atom_site_occupancy
Al1 Al 0.0000 0.0000 0.2454 1
Al2 Al 0.0000 0.0000 0.7546 1
Re1 Re 0.5000 0.5000 0.0000 1
Re2 Re 0.5000 0.5000 0.5000 1
O1 O 0.0000 0.0000 0.0000 1
O2 O 0.0000 0.5000 0.3392 1
O3 O 0.0000 0.5000 0.6608 1
O4 O 0.5000 0.0000 0.3392 1
O5 O 0.5000 0.0000 0.6608 1
```

Record 2
Density functional theory data (PBE-GGA) for an optimized crystal structure of Sm3AlO6.

- Calculated total energy: -8.12 eV per atom

The structure in CIF format:
```
data_Sm3AlO6
_chemical_formula_sum 'Sm6 Al2 O12'
_space_group_name_H-M_alt 'P 1'
_space_group_IT_number 1
_cell_length_a 7.2358
_cell_length_b 7.2358
_cell_length_c 5.4726
_cell_angle_alpha 90.00
_cell_angle_beta 90.00
_cell_angle_gamma 102.77
loop_
_space_group_symop_operation_xyz
'x,y,z'
loop_
_atom_site_label
_atom_site_type_symbol
_atom_site_fract_x
_atom_site_fract_y
_atom_site_fract_z
_atom_site_occupancy
Sm1 Sm 0.1043 0.8957 0.5000 1
Sm2 Sm 0.2016 0.4148 0.5443 1
Sm3 Sm 0.4148 0.2016 0.0443 1
Sm4 Sm 0.5852 0.7984 0.5443 1
Sm5 Sm 0.7984 0.5852 0.0443 1
Sm6 Sm 0.8957 0.1043 0.0000 1
Al1 Al 0.3068 0.6932 0.0812 1
Al2 Al 0.6932 0.3068 0.5812 1
O1 O 0.0885 0.6080 0.2394 1
O2 O 0.1458 0.1734 0.2736 1
O3 O 0.1734 0.1458 0.7736 1
O4 O 0.2857 0.7143 0.7603 1
O5 O 0.3920 0.9115 0.2394 1
O6 O 0.4545 0.5455 0.2021 1
O7 O 0.5455 0.4545 0.7021 1
O8 O 0.6080 0.0885 0.7394 1
O9 O 0.7143 0.2857 0.2603 1
O10 O 0.8266 0.8542 0.2736 1
O11 O 0.8542 0.8266 0.7736 1
O12 O 0.9115 0.3920 0.7394 1
```

Record 3
Density functional theory data (PBE-GGA) for an optimized crystal structure of SmAlO3.

- Calculated total energy: -7.94 eV per atom

The structure in CIF format:
```
data_SmAlO3
_chemical_formula_sum 'Sm4 Al4 O12'
_space_group_name_H-M_alt 'P 1'
_space_group_IT_number 1
_cell_length_a 5.3052
_cell_length_b 7.4813
_cell_length_c 5.2880
_cell_angle_alpha 90.00
_cell_angle_beta 90.00
_cell_angle_gamma 90.00
loop_
_space_group_symop_operation_xyz
'x,y,z'
loop_
_atom_site_label
_atom_site_type_symbol
_atom_site_fract_x
_atom_site_fract_y
_atom_site_fract_z
_atom_site_occupancy
Sm1 Sm 0.0318 0.2500 0.0074 1
Sm2 Sm 0.4682 0.7500 0.5074 1
Sm3 Sm 0.5318 0.2500 0.4926 1
Sm4 Sm 0.9682 0.7500 0.9926 1
Al1 Al 0.0000 0.0000 0.5000 1
Al2 Al 0.0000 0.5000 0.5000 1
Al3 Al 0.5000 0.0000 0.0000 1
Al4 Al 0.5000 0.5000 0.0000 1
O1 O 0.0102 0.7500 0.4311 1
O2 O 0.2201 0.5368 0.7790 1
O3 O 0.2201 0.9632 0.7790 1
O4 O 0.2799 0.0368 0.2790 1
O5 O 0.2799 0.4632 0.2790 1
O6 O 0.4898 0.2500 0.9311 1
O7 O 0.5102 0.7500 0.0689 1
O8 O 0.7201 0.5368 0.7210 1
O9 O 0.7201 0.9632 0.7210 1
O10 O 0.7799 0.0368 0.2210 1
O11 O 0.7799 0.4632 0.2210 1
O12 O 0.9898 0.2500 0.5689 1
```

Record 4
Density functional theory data (PBE-GGA) for an optimized crystal structure of SmAlO3.

- Calculated total energy: -7.67 eV per atom

The structure in CIF format:
```
data_SmAlO3
_chemical_formula_sum 'Sm4 Al4 O12'
_space_group_name_H-M_alt 'P 1'
_space_group_IT_number 1
_cell_length_a 5.4502
_cell_length_b 8.5509
_cell_length_c 5.4622
_cell_angle_alpha 90.00
_cell_angle_beta 90.00
_cell_angle_gamma 90.00
loop_
_space_group_symop_operation_xyz
'x,y,z'
loop_
_atom_site_label
_atom_site_type_symbol
_atom_site_fract_x
_atom_site_fract_y
_atom_site_fract_z
_atom_site_occupancy
Sm1 Sm 0.0000 0.0000 0.0000 1
Sm2 Sm 0.0000 0.5000 0.0000 1
Sm3 Sm 0.5000 0.0000 0.5000 1
Sm4 Sm 0.5000 0.5000 0.5000 1
Al1 Al 0.0245 0.2500 0.4642 1
Al2 Al 0.4755 0.7500 0.9642 1
Al3 Al 0.5245 0.2500 0.0358 1
Al4 Al 0.9755 0.7500 0.5358 1
O1 O 0.1361 0.0937 0.6350 1
O2 O 0.1361 0.4063 0.6350 1
O3 O 0.2122 0.2500 0.1721 1
O4 O 0.2878 0.7500 0.6721 1
O5 O 0.3639 0.5937 0.1350 1
O6 O 0.3639 0.9063 0.1350 1
O7 O 0.6361 0.0937 0.8650 1
O8 O 0.6361 0.4063 0.8650 1
O9 O 0.7122 0.2500 0.3279 1
O10 O 0.7878 0.7500 0.8279 1
O11 O 0.8639 0.5937 0.3650 1
O12 O 0.8639 0.9063 0.3650 1
```

Question: Which formula does entry 2 have?
Answer: Sm3AlO6

Question: Look up the calculated total energy of the first one.
Answer: -7.39 eV per atom

Question: The lowest calculated total energy belongs to which entry?
Answer: Sm3AlO6

Please write out number 1 again, unchanged.
Density functional theory data (PBE-GGA) for an optimized crystal structure of Al2Re2O5.

- Relative energy among the computed polymorphs: 0.0 meV per atom
- Calculated total energy: -7.39 eV per atom

The structure in CIF format:
```
data_Al2Re2O5
_chemical_formula_sum 'Al2 Re2 O5'
_space_group_name_H-M_alt 'P 1'
_space_group_IT_number 1
_cell_length_a 3.4448
_cell_length_b 3.4448
_cell_length_c 7.9303
_cell_angle_alpha 90.00
_cell_angle_beta 90.00
_cell_angle_gamma 90.00
loop_
_space_group_symop_operation_xyz
'x,y,z'
loop_
_atom_site_label
_atom_site_type_symbol
_atom_site_fract_x
_atom_site_fract_y
_atom_site_fract_z
_atom_site_occupancy
Al1 Al 0.0000 0.0000 0.2454 1
Al2 Al 0.0000 0.0000 0.7546 1
Re1 Re 0.5000 0.5000 0.0000 1
Re2 Re 0.5000 0.5000 0.5000 1
O1 O 0.0000 0.0000 0.0000 1
O2 O 0.0000 0.5000 0.3392 1
O3 O 0.0000 0.5000 0.6608 1
O4 O 0.5000 0.0000 0.3392 1
O5 O 0.5000 0.0000 0.6608 1
```